Entry from the Alexandria database: a relaxed CsCoO2F crystal (GGA+U).

POSCAR file:
```
CsCoO2F
1.0
4.382 0.000 0.000
0.000 4.382 0.000
0.000 0.000 5.313
Cs Co O F
1 1 2 1
Direct
0.000 0.000 0.000
0.500 0.500 0.500
0.000 0.500 0.000
0.500 0.000 0.000
0.000 0.000 0.500
```

Computed properties:
The total energy is -3.073 eV per atom. Its spin magnetization is 2.3 μB per cell. Its volume is 102.03 Å³ per cell.